Record 1
Here is ThZnCdGa after structural relaxation from Alexandria via LeMat-Bulk. Energies are from PBE-GGA.

DOS(E_F) = 4.17 states/eV per cell
Crystal system = cubic

Structure (CIF):
```
data_ThZnCdGa
_cell_length_a 4.9975
_cell_length_b 4.9975
_cell_length_c 4.9975
_cell_angle_alpha 60.00
_cell_angle_beta 60.00
_cell_angle_gamma 60.00
_symmetry_space_group_name_H-M 'P 1'
_symmetry_Int_Tables_number 1
loop_
_symmetry_equiv_pos_as_xyz
'x,y,z'
loop_
_atom_site_label
_atom_site_type_symbol
_atom_site_fract_x
_atom_site_fract_y
_atom_site_fract_z
Zn1 Zn 0.7500 0.7500 0.7500
Ga1 Ga 0.2500 0.2500 0.2500
Th1 Th 0.5000 0.5000 0.5000
Cd1 Cd 0.0000 0.0000 0.0000
```

---

Record 2
Here is TiCdGa2 after structural relaxation from Alexandria via LeMat-Bulk. Energies are from PBE-GGA.

DOS(E_F) = 3.59 states/eV per cell
Crystal system = tetragonal

Structure (CIF):
```
data_TiCdGa2
_cell_length_a 7.2724
_cell_length_b 7.2724
_cell_length_c 5.9103
_cell_angle_alpha 52.03
_cell_angle_beta 52.03
_cell_angle_gamma 90.00
_symmetry_space_group_name_H-M 'P 1'
_symmetry_Int_Tables_number 1
loop_
_symmetry_equiv_pos_as_xyz
'x,y,z'
loop_
_atom_site_label
_atom_site_type_symbol
_atom_site_fract_x
_atom_site_fract_y
_atom_site_fract_z
Ti1 Ti 0.5000 0.5000 0.0000
Ti2 Ti 0.2500 0.7500 0.5000
Ga1 Ga 0.6246 0.1250 0.2500
Ga2 Ga 0.1254 0.6250 0.2500
Ga3 Ga 0.3750 0.3754 0.7500
Ga4 Ga 0.8750 0.8746 0.7500
Cd1 Cd 0.0000 0.0000 0.0000
Cd2 Cd 0.7500 0.2500 0.5000
```

---

Record 3
Here is Ti2Cd2Ga after structural relaxation from Alexandria via LeMat-Bulk. Energies are from PBE-GGA.

Excess energy over the best structure of this formula in the dataset = 114 meV/atom
DOS(E_F) = 4.84 states/eV per cell
Crystal system = tetragonal

Structure (CIF):
```
data_Ti2Cd2Ga
_cell_length_a 7.5761
_cell_length_b 7.5761
_cell_length_c 3.3550
_cell_angle_alpha 90.00
_cell_angle_beta 90.00
_cell_angle_gamma 90.00
_symmetry_space_group_name_H-M 'P 1'
_symmetry_Int_Tables_number 1
loop_
_symmetry_equiv_pos_as_xyz
'x,y,z'
loop_
_atom_site_label
_atom_site_type_symbol
_atom_site_fract_x
_atom_site_fract_y
_atom_site_fract_z
Ti1 Ti 0.1723 0.6723 0.5000
Ti2 Ti 0.6723 0.8277 0.5000
Ti3 Ti 0.8277 0.3277 0.5000
Ti4 Ti 0.3277 0.1723 0.5000
Ga1 Ga 0.0000 0.0000 0.0000
Ga2 Ga 0.5000 0.5000 0.0000
Cd1 Cd 0.3711 0.8711 0.0000
Cd2 Cd 0.8711 0.6289 0.0000
Cd3 Cd 0.6289 0.1289 0.0000
Cd4 Cd 0.1289 0.3711 0.0000
```

---

Record 4
Here is TiCdGa2 after structural relaxation from Alexandria via LeMat-Bulk. Energies are from PBE-GGA.

DOS(E_F) = 2.37 states/eV per cell
Crystal system = tetragonal

Structure (CIF):
```
data_TiCdGa2
_cell_length_a 2.9483
_cell_length_b 2.9483
_cell_length_c 8.3470
_cell_angle_alpha 90.00
_cell_angle_beta 90.00
_cell_angle_gamma 90.00
_symmetry_space_group_name_H-M 'P 1'
_symmetry_Int_Tables_number 1
loop_
_symmetry_equiv_pos_as_xyz
'x,y,z'
loop_
_atom_site_label
_atom_site_type_symbol
_atom_site_fract_x
_atom_site_fract_y
_atom_site_fract_z
Ti1 Ti 0.5000 0.5000 0.0000
Ga1 Ga 0.0000 0.0000 0.7818
Ga2 Ga 0.0000 0.0000 0.2182
Cd1 Cd 0.5000 0.5000 0.5000
```

---

Record 5
Here is TiCd2Ga after structural relaxation from Alexandria via LeMat-Bulk. Energies are from PBE-GGA.

DOS(E_F) = 1.96 states/eV per cell
Crystal system = tetragonal

Structure (CIF):
```
data_TiCd2Ga
_cell_length_a 4.3817
_cell_length_b 4.1143
_cell_length_c 4.1143
_cell_angle_alpha 90.00
_cell_angle_beta 90.00
_cell_angle_gamma 90.00
_symmetry_space_group_name_H-M 'P 1'
_symmetry_Int_Tables_number 1
loop_
_symmetry_equiv_pos_as_xyz
'x,y,z'
loop_
_atom_site_label
_atom_site_type_symbol
_atom_site_fract_x
_atom_site_fract_y
_atom_site_fract_z
Ti1 Ti 0.5000 0.5000 0.5000
Ga1 Ga 0.5000 0.0000 0.0000
Cd1 Cd 0.0000 0.0000 0.5000
Cd2 Cd 0.0000 0.5000 0.0000
```

---

Record 6
Here is Ti2Cd2Ga after structural relaxation from Alexandria via LeMat-Bulk. Energies are from PBE-GGA.

Excess energy over the best structure of this formula in the dataset = 177 meV/atom
DOS(E_F) = 3.35 states/eV per cell
Crystal system = tetragonal

Structure (CIF):
```
data_Ti2Cd2Ga
_cell_length_a 3.9225
_cell_length_b 3.9225
_cell_length_c 7.1449
_cell_angle_alpha 74.07
_cell_angle_beta 74.07
_cell_angle_gamma 90.00
_symmetry_space_group_name_H-M 'P 1'
_symmetry_Int_Tables_number 1
loop_
_symmetry_equiv_pos_as_xyz
'x,y,z'
loop_
_atom_site_label
_atom_site_type_symbol
_atom_site_fract_x
_atom_site_fract_y
_atom_site_fract_z
Ti1 Ti 0.4238 0.4238 0.1524
Ti2 Ti 0.5762 0.5762 0.8476
Ga1 Ga 0.0000 0.0000 0.0000
Cd1 Cd 0.7500 0.2500 0.5000
Cd2 Cd 0.2500 0.7500 0.5000
```

---

Record 7
Here is TiCdGa2 after structural relaxation from Alexandria via LeMat-Bulk. Energies are from PBE-GGA.

DOS(E_F) = 1.28 states/eV per cell
Crystal system = tetragonal

Structure (CIF):
```
data_TiCdGa2
_cell_length_a 3.9679
_cell_length_b 4.1599
_cell_length_c 4.1599
_cell_angle_alpha 90.00
_cell_angle_beta 90.00
_cell_angle_gamma 90.00
_symmetry_space_group_name_H-M 'P 1'
_symmetry_Int_Tables_number 1
loop_
_symmetry_equiv_pos_as_xyz
'x,y,z'
loop_
_atom_site_label
_atom_site_type_symbol
_atom_site_fract_x
_atom_site_fract_y
_atom_site_fract_z
Ti1 Ti 0.5000 0.0000 0.0000
Ga1 Ga 0.0000 0.0000 0.5000
Ga2 Ga 0.0000 0.5000 0.0000
Cd1 Cd 0.5000 0.5000 0.5000
```

---

Record 8
Here is Ti2Cd2Ga after structural relaxation from Alexandria via LeMat-Bulk. Energies are from PBE-GGA.

Excess energy over the best structure of this formula in the dataset = 0 meV/atom
DOS(E_F) = 9.23 states/eV per cell
Crystal system = tetragonal

Structure (CIF):
```
data_Ti2Cd2Ga
_cell_length_a 6.7533
_cell_length_b 6.7533
_cell_length_c 4.4070
_cell_angle_alpha 90.00
_cell_angle_beta 90.00
_cell_angle_gamma 90.00
_symmetry_space_group_name_H-M 'P 1'
_symmetry_Int_Tables_number 1
loop_
_symmetry_equiv_pos_as_xyz
'x,y,z'
loop_
_atom_site_label
_atom_site_type_symbol
_atom_site_fract_x
_atom_site_fract_y
_atom_site_fract_z
Ti1 Ti 0.3601 0.8601 0.0000
Ti2 Ti 0.8601 0.6399 0.0000
Ti3 Ti 0.6399 0.1399 0.0000
Ti4 Ti 0.1399 0.3601 0.0000
Ga1 Ga 0.0000 0.0000 0.0000
Ga2 Ga 0.5000 0.5000 0.0000
Cd1 Cd 0.1601 0.6601 0.5000
Cd2 Cd 0.6601 0.8399 0.5000
Cd3 Cd 0.8399 0.3399 0.5000
Cd4 Cd 0.3399 0.1601 0.5000
```

---

Number 1: VASP energy -13.42 eV for the cell shown. Number 2: VASP energy -28.81 eV for the cell shown. Number 3: VASP energy -38.99 eV for the cell shown. Number 4: VASP energy -15.31 eV for the cell shown. Number 5: VASP energy -13.19 eV for the cell shown. Number 6: VASP energy -19.18 eV for the cell shown. Number 7: VASP energy -15.72 eV for the cell shown. Number 8: VASP energy -40.13 eV for the cell shown.